# 1
## K2Si (PBE)

Data for K2Si after structural relaxation.

Summary:
- raw formation energy (eV/atom) = 0.042
- electronic total energy (eV per atom) = -2.497
- total magnetization (μB/f.u.) = 0.00

a b c (Å): 3.993 6.879 9.543
angles (deg): 76.91 89.74 89.98
Positions (direct):
K: 0.248 0.844 0.667
K: 0.752 0.156 0.333
K: 0.747 0.295 0.832
K: 0.253 0.705 0.168
Si: 0.250 0.402 0.525
Si: 0.750 0.598 0.475

=====

# 2
## KSi3 (PBE)

Data for KSi3 after structural relaxation.

Summary:
- raw formation energy (eV/atom) = 0.186
- electronic total energy (eV per atom) = -4.155
- total magnetization (μB/f.u.) = 0.00

a b c (Å): 7.147 7.147 4.538
angles (deg): 90.00 90.00 119.98
Positions (direct):
K: 0.666 0.334 0.750
K: 0.334 0.666 0.250
Si: 0.115 0.885 0.750
Si: 0.885 0.115 0.250
Si: 0.770 0.885 0.750
Si: 0.230 0.115 0.250
Si: 0.885 0.770 0.250
Si: 0.115 0.230 0.750

=====

Repeat the first record exactly.
## K2Si (PBE)

Data for K2Si after structural relaxation.

Summary:
- raw formation energy (eV/atom) = 0.042
- electronic total energy (eV per atom) = -2.497
- total magnetization (μB/f.u.) = 0.00

a b c (Å): 3.993 6.879 9.543
angles (deg): 76.91 89.74 89.98
Positions (direct):
K: 0.248 0.844 0.667
K: 0.752 0.156 0.333
K: 0.747 0.295 0.832
K: 0.253 0.705 0.168
Si: 0.250 0.402 0.525
Si: 0.750 0.598 0.475

=====

> Which formula does entry 2 have?

KSi3